Computed, not measured: a geometry-optimized RbTmSiSe4 structure at the PBE-GGA level of DFT.

Cell lengths 6.630, 7.010, 9.430 Å; angles 90.00, 108.25, 90.00 degrees
Fractional coordinates of all 14 atoms:
Se (0.990, 0.497, 0.299)
Se (0.990, 0.003, 0.299)
Se (0.437, 0.750, 0.577)
Se (0.579, 0.250, 0.821)
Se (0.010, 0.503, 0.701)
Se (0.563, 0.250, 0.423)
Se (0.421, 0.750, 0.179)
Se (0.010, 0.997, 0.701)
Rb (0.747, 0.750, 0.941)
Rb (0.253, 0.250, 0.059)
Tm (0.226, 0.250, 0.549)
Tm (0.774, 0.750, 0.451)
Si (0.223, 0.750, 0.337)
Si (0.777, 0.250, 0.663)

## Properties
Space-group type: P2_1/m, No. 11
Total energy: -4.750 eV/atom
Formation energy without anion corrections: -1.21 eV per atom
Crystal system: monoclinic
Density of states at the Fermi level: 0.00 states/eV per cell
Magnetization: 0.00 μB/cell


Computed, not measured: a geometry-optimized KPF2 structure at the PBE-GGA level of DFT.

Cell lengths 4.557, 4.557, 4.557 Å; angles 60.00, 60.00, 60.00 degrees
Last column: magnetic moment on the atom in μB.
Fractional coordinates of all 4 atoms:
P (0.000, 0.000, 0.000)  0.87
K (0.500, 0.500, 0.500)  0.03
F (0.250, 0.250, 0.250)  0.08
F (0.750, 0.750, 0.750)  0.08

## Properties
Space-group type: Fm-3m, No. 225
Total energy: -3.434 eV/atom
Energy relative to the lowest polymorph listed for this composition: 744 meV/atom
Formation energy without anion corrections: -0.87 eV per atom
Crystal system: cubic
Density of states at the Fermi level: 5.36 states/eV per cell
Magnetization: 2.00 μB/cell


Computed, not measured: a geometry-optimized Na3As5Pd6 structure at the PBE-GGA level of DFT.

Cell lengths 4.146, 9.776, 13.033 Å; angles 90.00, 90.00, 90.00 degrees
Fractional coordinates of all 28 atoms:
Na (0.000, 0.244, 0.659)
Na (0.000, 0.257, 0.000)
Na (0.000, 0.244, 0.341)
Na (0.500, 0.756, 0.841)
Na (0.500, 0.756, 0.159)
Na (0.500, 0.743, 0.500)
Pd (0.000, 0.007, 0.831)
Pd (0.000, 0.592, 0.700)
Pd (0.500, 0.408, 0.200)
Pd (0.500, 0.993, 0.331)
Pd (0.000, 0.981, 0.500)
Pd (0.000, 0.491, 0.500)
Pd (0.000, 0.592, 0.300)
Pd (0.500, 0.408, 0.800)
Pd (0.500, 0.509, 0.000)
Pd (0.500, 0.993, 0.669)
Pd (0.000, 0.007, 0.169)
Pd (0.500, 0.019, 0.000)
As (0.000, 0.872, 0.000)
As (0.500, 0.471, 0.384)
As (0.500, 0.152, 0.171)
As (0.000, 0.848, 0.329)
As (0.500, 0.128, 0.500)
As (0.500, 0.471, 0.616)
As (0.500, 0.152, 0.829)
As (0.000, 0.529, 0.884)
As (0.000, 0.848, 0.671)
As (0.000, 0.529, 0.116)

## Properties
Space-group type: Pmmn, No. 59
E_form: -430 meV/atom
Total energy: -4.598 eV/atom
Crystal system: orthorhombic
Density of states at the Fermi level: 11.74 states/eV per cell
Magnetization: 0.00 μB/cell


Computed, not measured: a geometry-optimized CdSn2Pd9 structure at the PBE-GGA level of DFT.

Cell lengths 4.041, 4.041, 12.071 Å; angles 90.00, 90.00, 90.00 degrees
Fractional coordinates of all 12 atoms:
Pd (0.500, 0.500, 0.000)
Pd (0.000, 0.500, 0.169)
Pd (0.000, 0.500, 0.500)
Pd (0.500, 0.000, 0.169)
Pd (0.500, 0.000, 0.831)
Pd (0.500, 0.000, 0.500)
Pd (0.000, 0.500, 0.831)
Pd (0.500, 0.500, 0.335)
Pd (0.500, 0.500, 0.665)
Sn (0.000, 0.000, 0.669)
Sn (0.000, 0.000, 0.331)
Cd (0.000, 0.000, 0.000)

## Properties
Space-group type: P4/mmm, No. 123
E_form: -417 meV/atom
Total energy: -5.055 eV/atom
Crystal system: tetragonal
Density of states at the Fermi level: 8.54 states/eV per cell
Magnetization: 0.00 μB/cell


Computed, not measured: a geometry-optimized Ce2Te2O structure at the PBE-GGA level of DFT.

Cell lengths 4.164, 7.891, 9.122 Å; angles 90.00, 103.19, 90.00 degrees
Last column: magnetic moment on the atom in μB.
Fractional coordinates of all 10 atoms:
O (0.618, 0.881, 0.235)  -0.03
O (0.382, 0.381, 0.765)  -0.03
Ce (0.422, 0.113, 0.843)  0.95
Ce (0.848, 0.476, 0.696)  0.88
Ce (0.578, 0.613, 0.157)  0.95
Ce (0.152, 0.976, 0.304)  0.88
Te (0.964, 0.797, 0.928)  -0.03
Te (0.217, 0.598, 0.434)  -0.03
Te (0.783, 0.098, 0.566)  -0.03
Te (0.036, 0.297, 0.072)  -0.03

## Properties
Space-group type: Cmc2_1, No. 36
Total energy: -6.645 eV/atom
Energy relative to the lowest polymorph listed for this composition: 35 meV/atom
Formation energy without anion corrections: -2.02 eV per atom
Crystal system: orthorhombic
Density of states at the Fermi level: 24.38 states/eV per cell
Magnetization: 4.00 μB/cell


Computed, not measured: a geometry-optimized VIrN2 structure at the PBE-GGA level of DFT.

Cell lengths 5.968, 5.968, 5.968 Å; angles 30.80, 30.80, 30.80 degrees
Fractional coordinates of all 4 atoms:
Ir (0.500, 0.500, 0.500)
N (0.110, 0.110, 0.110)
N (0.890, 0.890, 0.890)
V (0.000, 0.000, 0.000)

## Properties
Space-group type: R-3m, No. 166
Total energy: -8.063 eV/atom
Energy relative to the lowest polymorph listed for this composition: 798 meV/atom
Formation energy without anion corrections: 0.59 eV per atom
Crystal system: trigonal
Density of states at the Fermi level: 4.28 states/eV per cell
Magnetization: 0.00 μB/cell